{
  "formula": "MgIn2Ir",
  "functional": "SCAN",
  "state": "single point on PBEsol structure",
  "mass_density_g_cm3": 9.4,
  "ef_mev_per_atom": 50,
  "sg": "R-3m",
  "lattice": [[-1.9218, 1.2240, 2.2113], [-1.5450, -1.9216, 2.0004], [5.7868, 0.2110, 7.1917]],
  "species": ["In", "In", "Ir", "Mg"],
  "fractional_positions": [[0.2583, 0.2583, 0.2250], [0.7417, 0.7417, 0.7750], [0.0000, 0.0000, 0.0000], [0.5000, 0.5000, 0.5000]]
}


{
  "formula": "K2YRh",
  "functional": "SCAN",
  "state": "single point on PBEsol structure",
  "mass_density_g_cm3": 4.1,
  "ef_mev_per_atom": 359,
  "de_polymorph_ev_per_atom": 0.425,
  "sg": "I4/mmm",
  "lattice": [[-1.7376, -3.4826, 1.5358], [3.2198, -2.2453, -1.4486], [2.2563, 3.7207, 5.2906]],
  "species": ["K", "K", "Rh", "Y"],
  "fractional_positions": [[0.7500, 0.2500, 0.5000], [0.2500, 0.7500, 0.5000], [0.5000, 0.5000, 0.0000], [0.0000, 0.0000, 0.0000]]
}


{
  "formula": "LiCoPO4",
  "functional": "SCAN",
  "state": "single point on PBEsol structure",
  "mass_density_g_cm3": 3.2,
  "de_polymorph_ev_per_atom": 0.028,
  "e_form_raw_mev_per_atom": -2200,
  "sg": "C2/c",
  "lattice": [[-3.8461, -0.5116, 2.9833], [-3.6666, -2.9891, -1.2554], [9.7275, -11.1867, 6.9506]],
  "species": ["P", "P", "P", "P", "Co", "Co", "Co", "Co", "O", "O", "O", "O", "O", "O", "O", "O", "O", "O", "O", "O", "O", "O", "O", "O", "Li", "Li", "Li", "Li"],
  "fractional_positions": [[0.3955, 0.7346, 0.1274], [0.2654, 0.6045, 0.3726], [0.7346, 0.3955, 0.6274], [0.6045, 0.2654, 0.8726], [0.7220, 0.0412, 0.0656], [0.0412, 0.7220, 0.5656], [0.9588, 0.2780, 0.4344], [0.2780, 0.9588, 0.9344], [0.3874, 0.9624, 0.2009], [0.9624, 0.3874, 0.7009], [0.0376, 0.6126, 0.2991], [0.6126, 0.0376, 0.7991], [0.3076, 0.9019, 0.3884], [0.9019, 0.3076, 0.8884], [0.0981, 0.6924, 0.1116], [0.6924, 0.0981, 0.6116], [0.5974, 0.3114, 0.3642], [0.3114, 0.5974, 0.8642], [0.6886, 0.4026, 0.1358], [0.4026, 0.6886, 0.6358], [0.4201, 0.8746, 0.0489], [0.8746, 0.4201, 0.5489], [0.1254, 0.5799, 0.4511], [0.5799, 0.1254, 0.9511], [0.0725, 0.4089, 0.1910], [0.4089, 0.0725, 0.6910], [0.5911, 0.9275, 0.3090], [0.9275, 0.5911, 0.8090]]
}


{
  "formula": "MnCr2As",
  "functional": "SCAN",
  "state": "single point on PBEsol structure",
  "mass_density_g_cm3": 8.4,
  "ef_mev_per_atom": -64,
  "sg": "F-43m",
  "lattice": [[4.0238, 0.0000, 0.0000], [2.0119, 3.4847, 0.0000], [2.0119, 1.1616, 3.2854]],
  "species": ["As", "Cr", "Cr", "Mn"],
  "fractional_positions": [[0.5000, 0.5000, 0.5000], [0.0000, 0.0000, 0.0000], [0.7500, 0.7500, 0.7500], [0.2500, 0.2500, 0.2500]]
}


{
  "formula": "LaSc2Sn2",
  "functional": "SCAN",
  "state": "single point on PBEsol structure",
  "mass_density_g_cm3": 5.8,
  "ef_mev_per_atom": -747,
  "sg": "I4/mmm",
  "lattice": [[-3.2760, 0.3710, -3.0871], [-3.1082, -0.2685, 3.2660], [3.3140, 6.4082, 0.5575]],
  "species": ["Sc", "Sc", "Sn", "Sn", "La"],
  "fractional_positions": [[0.2500, 0.7500, 0.5000], [0.7500, 0.2500, 0.5000], [0.3912, 0.3912, 0.7823], [0.6088, 0.6088, 0.2177], [0.0000, 0.0000, 0.0000]]
}


{
  "formula": "ZrCrTe2",
  "functional": "SCAN",
  "state": "single point on PBEsol structure",
  "mass_density_g_cm3": 7.2,
  "de_polymorph_ev_per_atom": 0.000,
  "e_form_raw_mev_per_atom": -561,
  "sg": "P4mm",
  "lattice": [[-3.6670, -0.5206, -0.2725], [0.5303, -3.6739, -0.1180], [-0.4517, -0.2775, 6.6096]],
  "species": ["Cr", "Te", "Te", "Zr"],
  "fractional_positions": [[0.5000, 0.5000, 0.7603], [0.0000, 0.0000, 0.9180], [0.5000, 0.5000, 0.3268], [0.0000, 0.0000, 0.4949]]
}


{
  "formula": "In2AsCl",
  "functional": "SCAN",
  "state": "single point on PBEsol structure",
  "mass_density_g_cm3": 6.4,
  "de_polymorph_ev_per_atom": 0.144,
  "e_form_raw_mev_per_atom": -257,
  "sg": "Fm-3m",
  "lattice": [[-4.6919, -1.5329, -0.7828], [-2.3149, -2.8098, 3.4238], [-3.7406, 1.9248, 2.6979]],
  "species": ["As", "Cl", "In", "In"],
  "fractional_positions": [[0.0000, 0.0000, 0.0000], [0.5000, 0.5000, 0.5000], [0.7500, 0.7500, 0.7500], [0.2500, 0.2500, 0.2500]]
}


{
  "formula": "Na2ScFeMo",
  "functional": "SCAN",
  "state": "single point on PBEsol structure",
  "mass_density_g_cm3": 3.6,
  "ef_mev_per_atom": 1708,
  "sg": "P4/mmm",
  "lattice": [[-3.5844, -0.5609, -2.2007], [2.7105, -2.0355, -3.8961], [-0.5407, -4.6969, 2.0777]],
  "species": ["Sc", "Na", "Na", "Mo", "Fe"],
  "fractional_positions": [[0.0000, 0.0000, 0.0000], [0.0000, 0.0000, 0.5000], [0.0000, 0.5000, 0.0000], [0.5000, 0.5000, 0.5000], [0.5000, 0.0000, 0.0000]]
}


For the records above, the corresponding raw total energy values read -1.3105; -0.7059; -0.3697; -0.6934; -1.0816; -1.1560; -0.8817; -0.4935 hartree per atom.